# 1
First-principles (PBE) data for an optimized crystal structure of La8Si3HgI4, as listed in Alexandria via LeMat-Bulk.

As for the calculated volume: 33.4 Å³/atom. The value obtained for the uncorrected formation energy is -0.9284 eV per atom. The calculation puts the density of states at the Fermi level at 29.970 states/eV/cell. As for the density: 5.9 Mg/m³.

The space group is R-3m (No. 166, hexagonal axes) and the conventional cell measures 8.9640, 8.9640 and 23.0283 Å, with angles of 90.00, 90.00 and 120.00 degrees. The inequivalent atoms are La at (0.0000, 0.0000, 0.2341), La at (0.0124, 0.5062, 0.7628), Si at (0.0000, 0.5000, 0.5000), Hg at (0.0000, 0.0000, 0.5000), I at (0.0000, 0.0000, 0.0000) and I at (0.0000, 0.5000, 0.0000).



# 2
First-principles (PBE) data for an optimized crystal structure of La6Si2HgI3, as listed in Alexandria via LeMat-Bulk.

As for the calculated volume: 33.6 Å³/atom. The value obtained for the uncorrected formation energy is -0.9083 eV per atom. The calculation puts the density of states at the Fermi level at 15.642 states/eV/cell. As for the density: 6.1 Mg/m³.

The space group is C2/m (No. 12) and the conventional cell measures 20.088, 4.438 and 9.382 Å, with angles of 90.00, 105.17 and 90.00 degrees. The inequivalent atoms are La at (0.014, 0.000, 0.244), La at (0.165, 0.500, 0.119), La at (0.177, 0.500, 0.558), Si at (0.168, 0.000, 0.336), Hg at (0.000, 0.500, 0.000), I at (0.000, 0.500, 0.500) and I at (0.164, 0.000, 0.832).



# 3
First-principles (PBE) data for an optimized crystal structure of LaSnHgI6, as listed in Alexandria via LeMat-Bulk.

As for the calculated volume: 45.6 Å³/atom. The value obtained for the uncorrected formation energy is -0.8202 eV per atom. The calculation puts the density of states at the Fermi level at 7.899 states/eV/cell. As for the density: 4.9 Mg/m³.

The space group is C2 (No. 5) and the conventional cell measures 7.997, 13.859 and 7.401 Å, with angles of 90.00, 90.12 and 90.00 degrees. The inequivalent atoms are La at (0.000, 0.000, 0.000), Sn at (0.000, 0.667, 0.000), Hg at (0.000, 0.334, 0.500), I at (0.153, 0.833, 0.755), I at (0.171, 0.507, 0.755) and I at (0.174, 0.161, 0.755).



# 4
First-principles (PBE) data for an optimized crystal structure of LaHgTe2I, as listed in Alexandria via LeMat-Bulk.

As for the calculated volume: 36.8 Å³/atom. The value obtained for the uncorrected formation energy is -0.2774 eV per atom. The calculation puts the density of states at the Fermi level at 4.927 states/eV/cell. As for the density: 6.5 Mg/m³.

The space group is P4/mmm (No. 123) and the conventional cell measures 5.639, 5.639 and 5.781 Å, with angles of 90.00, 90.00 and 90.00 degrees. The inequivalent atoms are La at (0.000, 0.000, 0.000), Hg at (0.500, 0.500, 0.500), Te at (0.000, 0.500, 0.500) and I at (0.500, 0.500, 0.000).



# 5
First-principles (PBE) data for an optimized crystal structure of LaHgTe2I, as listed in Alexandria via LeMat-Bulk.

As for the calculated volume: 49.8 Å³/atom. The value obtained for the uncorrected formation energy is -0.4605 eV per atom. The calculation puts the density of states at the Fermi level at 5.918 states/eV/cell. As for the density: 4.8 Mg/m³.

The space group is P4/mmm (No. 123) and the conventional cell measures 6.286, 6.286 and 6.304 Å, with angles of 90.00, 90.00 and 90.00 degrees. The inequivalent atoms are La at (0.000, 0.000, 0.000), Hg at (0.500, 0.500, 0.500), Te at (0.000, 0.500, 0.000) and I at (0.000, 0.000, 0.500).



# 6
First-principles (PBE) data for an optimized crystal structure of La8HgTe3I4, as listed in Alexandria via LeMat-Bulk.

As for the calculated volume: 34.3 Å³/atom. The value obtained for the uncorrected formation energy is -1.1513 eV per atom. The calculation puts the density of states at the Fermi level at 43.322 states/eV/cell. As for the density: 6.7 Mg/m³.

The space group is R-3m (No. 166, hexagonal axes) and the conventional cell measures 9.2249, 9.2249 and 22.3099 Å, with angles of 90.00, 90.00 and 120.00 degrees. The inequivalent atoms are La at (0.0000, 0.0000, 0.2449), La at (0.0055, 0.5028, 0.2441), Hg at (0.0000, 0.0000, 0.5000), Te at (0.0000, 0.5000, 0.5000), I at (0.0000, 0.0000, 0.0000) and I at (0.0000, 0.5000, 0.0000).



# 7
First-principles (PBE) data for an optimized crystal structure of LiHgI2, as listed in Alexandria via LeMat-Bulk.

As for the calculated volume: 31.5 Å³/atom. The value obtained for the uncorrected formation energy is -0.3496 eV per atom. The calculation puts the density of states at the Fermi level at 12.668 states/eV/cell. As for the density: 6.1 Mg/m³.

The space group is Fm-3m (No. 225) and the conventional cell measures 7.956, 7.956 and 7.956 Å, with angles of 90.00, 90.00 and 90.00 degrees. The inequivalent atoms are Li at (0.000, 0.000, 0.000), Hg at (0.000, 0.000, 0.500) and I at (0.250, 0.250, 0.250).



# 8
First-principles (PBE) data for an optimized crystal structure of LiHg2I, as listed in Alexandria via LeMat-Bulk.

As for the calculated volume: 35.2 Å³/atom. The value obtained for the uncorrected formation energy is -0.5546 eV per atom. As for the density: 6.3 Mg/m³.

The space group is P2_1/m (No. 11) and the conventional cell measures 4.073, 4.073 and 17.089 Å, with angles of 90.00, 96.79 and 90.00 degrees. The inequivalent atoms are Li at (0.216, 0.250, 0.431), Hg at (0.092, 0.750, 0.186), Hg at (0.460, 0.750, 0.920) and I at (0.299, 0.250, 0.598).



# 9
First-principles (PBE) data for an optimized crystal structure of LiHgI2, as listed in Alexandria via LeMat-Bulk.

As for the calculated volume: 31.4 Å³/atom. The value obtained for the uncorrected formation energy is -0.5368 eV per atom. The calculation puts the density of states at the Fermi level at 8.772 states/eV/cell. As for the density: 6.1 Mg/m³.

The space group is R3m (No. 160, hexagonal axes) and the conventional cell measures 4.3147, 4.3147 and 23.3590 Å, with angles of 90.00, 90.00 and 120.00 degrees. The inequivalent atoms are Li at (0.0000, 0.0000, 0.0000), Hg at (0.0000, 0.0000, 0.1673), I at (0.0000, 0.0000, 0.4041) and I at (0.0000, 0.0000, 0.5961).



# 10
First-principles (PBE) data for an optimized crystal structure of LiHg2I, as listed in Alexandria via LeMat-Bulk.

As for the calculated volume: 35.1 Å³/atom. The value obtained for the uncorrected formation energy is -0.4283 eV per atom. The calculation puts the density of states at the Fermi level at 0.000 states/eV/cell. As for the density: 6.3 Mg/m³.

The space group is I-42d (No. 122) and the conventional cell measures 10.190, 10.190 and 5.416 Å, with angles of 90.00, 90.00 and 90.00 degrees. The inequivalent atoms are Li at (0.000, 0.000, 0.000), Hg at (0.172, 0.250, 0.125) and I at (0.000, 0.000, 0.500).



# 11
First-principles (PBE) data for an optimized crystal structure of Li2Hg2I, as listed in Alexandria via LeMat-Bulk.

As for the calculated volume: 25.8 Å³/atom. The value obtained for the uncorrected formation energy is -0.4038 eV per atom. The calculation puts the density of states at the Fermi level at 4.108 states/eV/cell. As for the density: 7.0 Mg/m³.

The space group is P4/mbm (No. 127) and the conventional cell measures 7.792, 7.792 and 4.242 Å, with angles of 90.00, 90.00 and 90.00 degrees. The inequivalent atoms are Li at (0.166, 0.334, 0.000), Hg at (0.141, 0.641, 0.500) and I at (0.000, 0.000, 0.000).



# 12
First-principles (PBE) data for an optimized crystal structure of LiHg2I, as listed in Alexandria via LeMat-Bulk.

As for the calculated volume: 30.1 Å³/atom. The value obtained for the uncorrected formation energy is -0.3216 eV per atom. As for the density: 7.4 Mg/m³.

The space group is R-3m (No. 166, hexagonal axes) and the conventional cell measures 4.2243, 4.2243 and 23.4054 Å, with angles of 90.00, 90.00 and 120.00 degrees. The inequivalent atoms are Li at (0.0000, 0.0000, 0.0000), Hg at (0.0000, 0.0000, 0.2633) and I at (0.0000, 0.0000, 0.5000).